# 1
CsK2Rb5Hg: optimized geometry, PBE.

```
CsK2Rb5Hg
1.0
2.448 -11.622 0.000
2.448 11.622 0.000
0.000 0.000 24.621
Cs K Rb Hg
2 4 10 2
Direct
0.076 0.924 0.500 Cs
0.924 0.076 0.000 Cs
0.271 0.729 0.876 K
0.402 0.598 0.402 K
0.598 0.402 0.902 K
0.729 0.271 0.376 K
0.056 0.944 0.310 Rb
0.115 0.885 0.717 Rb
0.217 0.783 0.205 Rb
0.267 0.733 0.544 Rb
0.460 0.540 0.629 Rb
0.540 0.460 0.129 Rb
0.733 0.267 0.044 Rb
0.783 0.217 0.705 Rb
0.885 0.115 0.217 Rb
0.944 0.056 0.810 Rb
0.350 0.650 0.103 Hg
0.650 0.350 0.603 Hg
```

Calculated values
- Magnetic moment: 0.000 μB/atom
- Space group: Cmc2_1
- E_tot: -0.946 eV/atom
- Energy relative to the elements: -0.036 eV/atom

=====

# 2
Cs2K4Rb2Hg: optimized geometry, PBE.

```
Cs2K4Rb2Hg
1.0
8.293 -5.194 0.000
8.293 5.194 0.000
-1.882 0.000 8.088
Cs K Rb Hg
2 4 2 1
Direct
0.152 0.152 0.252 Cs
0.848 0.848 0.748 Cs
0.133 0.653 0.268 K
0.347 0.867 0.732 K
0.653 0.133 0.268 K
0.867 0.347 0.732 K
0.366 0.366 0.796 Rb
0.634 0.634 0.204 Rb
0.500 0.500 0.500 Hg
```

Calculated values
- Magnetic moment: 0.000 μB/atom
- Space group: C2/m
- E_tot: -0.966 eV/atom
- Energy relative to the elements: -0.040 eV/atom

=====

# 3
CsK4RbHg2: optimized geometry, PBE.

```
CsK4RbHg2
1.0
5.816 0.000 0.000
0.000 5.816 0.000
0.000 0.000 15.235
Cs K Rb Hg
1 4 1 2
Direct
0.000 0.000 0.000 Cs
0.000 0.500 0.249 K
0.000 0.500 0.751 K
0.500 0.000 0.249 K
0.500 0.000 0.751 K
0.000 0.000 0.500 Rb
0.500 0.500 0.098 Hg
0.500 0.500 0.902 Hg
```

Calculated values
- Magnetic moment: 0.000 μB/atom
- Space group: P4/mmm
- E_tot: -0.921 eV/atom
- Energy relative to the elements: -0.070 eV/atom

=====

# 4
CsKRb3Hg: optimized geometry, PBE.

```
CsKRb3Hg
1.0
11.795 0.000 0.000
0.000 5.264 0.000
-5.279 0.000 14.109
Cs K Rb Hg
2 2 6 2
Direct
0.172 0.250 0.281 Cs
0.828 0.750 0.719 Cs
0.104 0.250 0.629 K
0.896 0.750 0.371 K
0.153 0.250 0.947 Rb
0.389 0.750 0.588 Rb
0.491 0.750 0.129 Rb
0.509 0.250 0.871 Rb
0.611 0.250 0.412 Rb
0.847 0.750 0.053 Rb
0.252 0.750 0.804 Hg
0.748 0.250 0.196 Hg
```

Calculated values
- Magnetic moment: 0.000 μB/atom
- Space group: P2_1/m
- E_tot: -0.937 eV/atom
- Energy relative to the elements: -0.078 eV/atom

=====

# 5
Cs2KRbHg2: optimized geometry, PBE.

```
Cs2KRbHg2
1.0
-4.153 10.173 4.137
4.153 -10.173 4.137
4.153 10.173 -4.137
Cs K Rb Hg
4 2 2 4
Direct
0.184 0.243 0.427 Cs
0.316 0.743 0.059 Cs
0.684 0.257 0.941 Cs
0.816 0.757 0.573 Cs
0.250 0.250 0.000 K
0.750 0.750 0.000 K
0.250 0.750 0.500 Rb
0.750 0.250 0.500 Rb
0.118 0.758 0.876 Hg
0.382 0.258 0.640 Hg
0.618 0.742 0.360 Hg
0.882 0.242 0.124 Hg
```

Calculated values
- Magnetic moment: 0.000 μB/atom
- Space group: Ibam
- E_tot: -0.890 eV/atom
- Energy relative to the elements: -0.161 eV/atom

=====

# 6
Cs3K3Rb4Hg2: optimized geometry, PBE.

```
Cs3K3Rb4Hg2
1.0
-3.505 19.068 3.609
3.505 -19.068 3.609
3.505 19.068 -3.609
Cs K Rb Hg
3 3 4 2
Direct
0.000 0.000 0.000 Cs
0.178 0.994 0.184 Cs
0.809 0.994 0.816 Cs
0.403 0.494 0.908 K
0.497 0.997 0.500 K
0.586 0.494 0.092 K
0.080 0.489 0.591 Rb
0.302 0.992 0.310 Rb
0.682 0.992 0.690 Rb
0.897 0.489 0.409 Rb
0.394 0.988 0.406 Hg
0.582 0.988 0.594 Hg
```

Calculated values
- Magnetic moment: 0.000 μB/atom
- Space group: Imm2
- E_tot: -0.913 eV/atom
- Energy relative to the elements: -0.052 eV/atom

=====

# 7
CsKRb2Hg: optimized geometry, PBE.

```
CsKRb2Hg
1.0
7.288 0.000 0.000
0.000 7.288 0.000
0.000 0.000 7.084
Cs K Rb Hg
1 1 2 1
Direct
0.000 0.000 0.000 Cs
0.500 0.500 0.000 K
0.000 0.500 0.500 Rb
0.500 0.000 0.500 Rb
0.500 0.500 0.500 Hg
```

Calculated values
- Magnetic moment: 0.000 μB/atom
- Space group: P4/mmm
- E_tot: -0.920 eV/atom
- Energy relative to the elements: -0.082 eV/atom

=====

# 8
Cs2KRb12Hg3: optimized geometry, PBE.

```
Cs2KRb12Hg3
1.0
6.703 3.870 9.712
-6.703 3.870 9.712
0.000 -7.740 9.712
Cs K Rb Hg
2 1 12 3
Direct
0.081 0.081 0.081 Cs
0.919 0.919 0.919 Cs
0.500 0.500 0.500 K
0.048 0.659 0.659 Rb
0.232 0.232 0.617 Rb
0.232 0.617 0.232 Rb
0.341 0.341 0.952 Rb
0.341 0.952 0.341 Rb
0.383 0.768 0.768 Rb
0.617 0.232 0.232 Rb
0.659 0.048 0.659 Rb
0.659 0.659 0.048 Rb
0.768 0.383 0.768 Rb
0.768 0.768 0.383 Rb
0.952 0.341 0.341 Rb
0.000 0.500 0.500 Hg
0.500 0.000 0.500 Hg
0.500 0.500 0.000 Hg
```

Calculated values
- Magnetic moment: 0.000 μB/atom
- Space group: R-3m
- E_tot: -0.884 eV/atom
- Energy relative to the elements: -0.033 eV/atom

=====

# 9
CsKRb2Hg2: optimized geometry, PBE.

```
CsKRb2Hg2
1.0
5.678 0.000 0.000
0.000 11.658 0.000
0.000 0.000 9.906
Cs K Rb Hg
2 2 4 4
Direct
0.000 0.079 0.000 Cs
0.000 0.921 0.500 Cs
0.500 0.190 0.674 K
0.500 0.810 0.174 K
0.000 0.321 0.384 Rb
0.000 0.679 0.884 Rb
0.500 0.420 0.054 Rb
0.500 0.580 0.554 Rb
0.000 0.373 0.766 Hg
0.000 0.627 0.266 Hg
0.500 0.117 0.298 Hg
0.500 0.883 0.798 Hg
```

Calculated values
- Magnetic moment: 0.000 μB/atom
- Space group: Pmc2_1
- E_tot: -0.914 eV/atom
- Energy relative to the elements: -0.166 eV/atom

=====

# 10
CsK5RbHg: optimized geometry, PBE.

```
CsK5RbHg
1.0
4.213 -10.780 0.000
4.213 10.780 0.000
-0.802 0.000 12.236
Cs K Rb Hg
2 10 2 2
Direct
0.032 0.968 0.750 Cs
0.968 0.032 0.250 Cs
0.054 0.728 0.069 K
0.249 0.751 0.750 K
0.272 0.946 0.431 K
0.300 0.465 0.573 K
0.465 0.300 0.073 K
0.535 0.700 0.927 K
0.700 0.535 0.427 K
0.728 0.054 0.569 K
0.751 0.249 0.250 K
0.946 0.272 0.931 K
0.341 0.659 0.250 Rb
0.659 0.341 0.750 Rb
0.000 0.500 0.500 Hg
0.500 0.000 0.000 Hg
```

Calculated values
- Magnetic moment: 0.000 μB/atom
- Space group: C2/c
- E_tot: -0.994 eV/atom
- Energy relative to the elements: -0.043 eV/atom

=====

# 11
Cs2K2RbHg2: optimized geometry, PBE.

```
Cs2K2RbHg2
1.0
8.006 -3.557 0.000
8.006 3.557 0.000
-7.336 0.000 8.222
Cs K Rb Hg
2 2 1 2
Direct
0.092 0.092 0.366 Cs
0.908 0.908 0.634 Cs
0.313 0.313 0.207 K
0.687 0.687 0.793 K
0.500 0.500 0.000 Rb
0.205 0.205 0.796 Hg
0.795 0.795 0.204 Hg
```

Calculated values
- Magnetic moment: 0.000 μB/atom
- Space group: C2/m
- E_tot: -0.890 eV/atom
- Energy relative to the elements: -0.108 eV/atom

=====

# 12
CsKRb2Hg: optimized geometry, PBE.

```
CsKRb2Hg
1.0
8.065 0.000 0.000
0.000 8.065 0.000
0.000 0.000 6.663
Cs K Rb Hg
1 1 2 1
Direct
0.000 0.000 0.000 Cs
0.500 0.500 0.500 K
0.000 0.500 0.500 Rb
0.500 0.000 0.500 Rb
0.500 0.500 0.000 Hg
```

Calculated values
- Magnetic moment: 0.000 μB/atom
- Space group: P4/mmm
- E_tot: -0.768 eV/atom
- Energy relative to the elements: 0.070 eV/atom

=====

# 13
CsK4Rb2Hg2: optimized geometry, PBE.

```
CsK4Rb2Hg2
1.0
7.699 -2.517 0.000
7.699 2.517 0.000
-0.569 0.000 14.778
Cs K Rb Hg
1 4 2 2
Direct
0.000 0.000 0.000 Cs
0.298 0.298 0.807 K
0.420 0.420 0.273 K
0.580 0.580 0.727 K
0.702 0.702 0.193 K
0.133 0.133 0.446 Rb
0.867 0.867 0.554 Rb
0.291 0.291 0.049 Hg
0.709 0.709 0.951 Hg
```

Calculated values
- Magnetic moment: 0.000 μB/atom
- Space group: C2/m
- E_tot: -0.963 eV/atom
- Energy relative to the elements: -0.098 eV/atom

=====

# 14
CsK8Rb2Hg: optimized geometry, PBE.

```
CsK8Rb2Hg
1.0
6.926 0.000 0.000
3.460 8.007 0.000
0.011 1.411 15.626
Cs K Rb Hg
1 8 2 1
Direct
0.000 0.000 0.000 Cs
0.130 0.741 0.310 K
0.166 0.669 0.659 K
0.294 0.413 0.913 K
0.376 0.246 0.511 K
0.624 0.754 0.489 K
0.706 0.587 0.087 K
0.834 0.331 0.341 K
0.870 0.259 0.690 K
0.433 0.133 0.206 Rb
0.567 0.867 0.794 Rb
0.000 0.000 0.500 Hg
```

Calculated values
- Magnetic moment: 0.000 μB/atom
- Space group: P-1
- E_tot: -1.009 eV/atom
- Energy relative to the elements: -0.020 eV/atom

=====

# 15
CsK2Rb4Hg2: optimized geometry, PBE.

```
CsK2Rb4Hg2
1.0
8.442 0.000 0.000
-0.696 8.884 0.000
-2.146 -3.551 8.146
Cs K Rb Hg
1 2 4 2
Direct
0.000 0.000 0.000 Cs
0.181 0.217 0.587 K
0.819 0.783 0.413 K
0.270 0.606 0.111 Rb
0.398 0.758 0.680 Rb
0.602 0.242 0.320 Rb
0.730 0.394 0.889 Rb
0.027 0.438 0.330 Hg
0.973 0.562 0.670 Hg
```

Calculated values
- Magnetic moment: 0.000 μB/atom
- Space group: P-1
- E_tot: -0.941 eV/atom
- Energy relative to the elements: -0.105 eV/atom

=====

# 16
CsK2RbHg2: optimized geometry, PBE.

```
CsK2RbHg2
1.0
5.636 0.000 0.000
0.000 11.520 0.000
0.000 0.000 9.743
Cs K Rb Hg
2 4 2 4
Direct
0.000 0.086 0.000 Cs
0.000 0.914 0.500 Cs
0.000 0.324 0.381 K
0.000 0.676 0.881 K
0.500 0.426 0.058 K
0.500 0.574 0.558 K
0.500 0.190 0.673 Rb
0.500 0.810 0.173 Rb
0.000 0.385 0.763 Hg
0.000 0.615 0.263 Hg
0.500 0.133 0.289 Hg
0.500 0.867 0.789 Hg
```

Calculated values
- Magnetic moment: 0.000 μB/atom
- Space group: Pmc2_1
- E_tot: -0.933 eV/atom
- Energy relative to the elements: -0.163 eV/atom

=====

# 17
CsK7RbHg2: optimized geometry, PBE.

```
CsK7RbHg2
1.0
6.742 0.000 0.000
0.000 6.742 0.000
0.000 0.000 17.820
Cs K Rb Hg
1 7 1 2
Direct
0.000 0.000 0.000 Cs
0.000 0.500 0.287 K
0.000 0.500 0.713 K
0.500 0.000 0.287 K
0.500 0.000 0.713 K
0.500 0.500 0.116 K
0.500 0.500 0.500 K
0.500 0.500 0.884 K
0.000 0.000 0.500 Rb
0.500 0.500 0.311 Hg
0.500 0.500 0.689 Hg
```

Calculated values
- Magnetic moment: 0.000 μB/atom
- Space group: P4/mmm
- E_tot: -0.959 eV/atom
- Energy relative to the elements: -0.041 eV/atom

=====

# 18
CsKRb5Hg2: optimized geometry, PBE.

```
CsKRb5Hg2
1.0
7.183 0.000 0.000
0.000 7.183 0.000
0.000 0.000 14.051
Cs K Rb Hg
1 1 5 2
Direct
0.000 0.000 0.000 Cs
0.500 0.500 0.500 K
0.000 0.500 0.289 Rb
0.000 0.500 0.711 Rb
0.500 0.000 0.289 Rb
0.500 0.000 0.711 Rb
0.500 0.500 0.000 Rb
0.500 0.500 0.251 Hg
0.500 0.500 0.749 Hg
```

Calculated values
- Magnetic moment: 0.000 μB/atom
- Space group: P4/mmm
- E_tot: -0.875 eV/atom
- Energy relative to the elements: -0.054 eV/atom

=====

# 19
Cs2KRb5Hg2: optimized geometry, PBE.

```
Cs2KRb5Hg2
1.0
15.952 0.000 0.000
0.000 15.952 0.000
0.000 0.000 5.571
Cs K Rb Hg
4 2 10 4
Direct
0.173 0.327 0.000 Cs
0.327 0.827 0.000 Cs
0.673 0.173 0.000 Cs
0.827 0.673 0.000 Cs
0.000 0.000 0.000 K
0.500 0.500 0.000 K
0.000 0.500 0.500 Rb
0.070 0.780 0.500 Rb
0.220 0.070 0.500 Rb
0.280 0.570 0.500 Rb
0.430 0.280 0.500 Rb
0.500 0.000 0.500 Rb
0.570 0.720 0.500 Rb
0.720 0.430 0.500 Rb
0.780 0.930 0.500 Rb
0.930 0.220 0.500 Rb
0.124 0.624 0.000 Hg
0.376 0.124 0.000 Hg
0.624 0.876 0.000 Hg
0.876 0.376 0.000 Hg
```

Calculated values
- Magnetic moment: 0.000 μB/atom
- Space group: P4/mbm
- E_tot: -0.915 eV/atom
- Energy relative to the elements: -0.090 eV/atom

=====

# 20
CsKHg2Rh: optimized geometry, PBE.

```
CsKHg2Rh
1.0
5.435 0.000 0.000
0.000 5.435 0.000
0.000 0.000 5.870
Cs K Hg Rh
1 1 2 1
Direct
0.000 0.000 0.000 Cs
0.500 0.500 0.000 K
0.000 0.500 0.500 Hg
0.500 0.000 0.500 Hg
0.500 0.500 0.500 Rh
```

Calculated values
- Magnetic moment: 0.000 μB/atom
- Space group: P4/mmm
- E_tot: -1.997 eV/atom
- Energy relative to the elements: -0.015 eV/atom

=====

# 21
CsK2HgS: optimized geometry, PBE.

```
CsK2HgS
1.0
6.103 0.000 0.000
0.000 6.103 0.000
0.000 0.000 6.846
Cs K Hg S
1 2 1 1
Direct
0.000 0.000 0.000 Cs
0.000 0.500 0.500 K
0.500 0.000 0.500 K
0.500 0.500 0.000 Hg
0.000 0.000 0.500 S
```

Calculated values
- Magnetic moment: 0.000 μB/atom
- Formation energy without anion corrections: -592 meV per atom
- Space group: P4/mmm
- E_tot: -2.087 eV/atom

=====

# 22
Cs2KHgS: optimized geometry, PBE.

```
Cs2KHgS
1.0
6.826 0.000 0.000
0.000 6.826 0.000
0.000 0.000 6.061
Cs K Hg S
2 1 1 1
Direct
0.000 0.500 0.000 Cs
0.500 0.000 0.000 Cs
0.000 0.000 0.500 K
0.500 0.500 0.500 Hg
0.000 0.000 0.000 S
```

Calculated values
- Magnetic moment: 0.000 μB/atom
- Formation energy without anion corrections: -586 meV per atom
- Space group: P4/mmm
- E_tot: -2.033 eV/atom